DFT (PBE) results for an optimized crystal structure of Li3Tb4PaSe8.

Computed properties:
Density of states at the Fermi level, states/eV per cell: 6.634
E, Ry per atom: -0.4027
Crystal system: trigonal
Uncorrected formation energy, meV/atom: -1627

POSCAR file:
```
Li3Tb4PaSe8
1.0
4.0509 2.3388 6.5842
-4.0509 2.3388 6.5842
0.0000 -4.6776 6.5842
Li Tb Pa Se
3 4 1 8
direct
0.0000 0.5000 0.5000 Li
0.5000 0.0000 0.5000 Li
0.5000 0.5000 0.0000 Li
0.0000 0.0000 0.5000 Tb
0.0000 0.5000 0.0000 Tb
0.5000 0.0000 0.0000 Tb
0.5000 0.5000 0.5000 Tb
0.0000 0.0000 0.0000 Pa
0.2495 0.2495 0.7412 Se
0.2495 0.7412 0.2495 Se
0.2522 0.2522 0.2522 Se
0.2588 0.7505 0.7505 Se
0.7412 0.2495 0.2495 Se
0.7478 0.7478 0.7478 Se
0.7505 0.2588 0.7505 Se
0.7505 0.7505 0.2588 Se
```


DFT (PBE) results for an optimized crystal structure of Li4Tb3PaSe8.

Computed properties:
Density of states at the Fermi level, states/eV per cell: 10.523
E, Ry per atom: -0.3861
Crystal system: trigonal
Uncorrected formation energy, meV/atom: -1571

POSCAR file:
```
Li4Tb3PaSe8
1.0
4.0719 2.3509 6.5250
-4.0719 2.3509 6.5250
0.0000 -4.7018 6.5250
Li Tb Pa Se
4 3 1 8
direct
0.0000 0.0000 0.0000 Li
0.0000 0.5000 0.5000 Li
0.5000 0.0000 0.5000 Li
0.5000 0.5000 0.0000 Li
0.0000 0.0000 0.5000 Tb
0.0000 0.5000 0.0000 Tb
0.5000 0.0000 0.0000 Tb
0.5000 0.5000 0.5000 Pa
0.2478 0.2478 0.7465 Se
0.2478 0.7465 0.2478 Se
0.2519 0.2519 0.2519 Se
0.2535 0.7522 0.7522 Se
0.7465 0.2478 0.2478 Se
0.7481 0.7481 0.7481 Se
0.7522 0.2535 0.7522 Se
0.7522 0.7522 0.2535 Se
```


DFT (PBE) results for an optimized crystal structure of Li3Tb2PaSe6.

Computed properties:
Density of states at the Fermi level, states/eV per cell: 6.705
E, Ry per atom: -0.3908
Crystal system: monoclinic
Uncorrected formation energy, meV/atom: -1533

POSCAR file:
```
Li3Tb2PaSe6
1.0
3.5146 -6.0868 0.0000
3.5146 6.0868 0.0000
-2.3445 0.0000 6.5424
Li Tb Pa Se
3 2 1 6
direct
0.0000 0.0000 0.0000 Li
0.3321 0.6679 0.0000 Li
0.6679 0.3321 0.0000 Li
0.1667 0.8333 0.5000 Tb
0.8333 0.1667 0.5000 Tb
0.5000 0.5000 0.5000 Pa
0.0824 0.4137 0.2412 Se
0.2548 0.2548 0.7576 Se
0.4137 0.0824 0.2412 Se
0.5863 0.9176 0.7588 Se
0.7452 0.7452 0.2424 Se
0.9176 0.5863 0.7588 Se
```


DFT (PBE) results for an optimized crystal structure of LiTb2PaSe4.

Computed properties:
Density of states at the Fermi level, states/eV per cell: 5.706
E, Ry per atom: -0.4331
Crystal system: monoclinic
Uncorrected formation energy, meV/atom: -1567

POSCAR file:
```
LiTb2PaSe4
1.0
6.9888 0.0000 0.0000
0.0000 4.0201 0.0000
-2.3061 0.0000 6.7306
Li Tb Pa Se
1 2 1 4
direct
0.0000 0.0000 0.0000 Li
0.5000 0.0000 0.5000 Tb
0.5000 0.5000 0.0000 Tb
0.0000 0.5000 0.5000 Pa
0.2410 0.5000 0.2413 Se
0.2446 0.0000 0.7583 Se
0.7554 0.0000 0.2417 Se
0.7590 0.5000 0.7587 Se
```